RbPtPbO4 PBE-GGA relaxed; space-group type = No. 74; energy = -5.097 eV per atom
1.0
-0.286 5.696 -0.552
-7.299 -3.252 -0.036
2.604 0.710 5.981
O Pt Pb Rb
8 2 2 2
Direct
0.305 0.609 0.365
0.305 0.609 0.744
0.695 0.391 0.256
0.263 0.010 0.755
0.695 0.391 0.635
0.747 0.010 0.755
0.737 0.990 0.245
0.253 0.990 0.245
0.500 0.500 0.500
0.000 0.500 0.500
0.500 0.000 0.500
0.500 0.000 0.000
0.834 0.668 0.084
0.166 0.332 0.916